Compound: Sr2La2FeCoO8
Source: the Alexandria database
Functional: PBE+U
Structure: optimized geometry

Cell lengths 6.872, 6.872, 5.452 Å; angles 90.00, 90.00, 133.27 degrees
Each line ends with the local moment (μB).
Fractional coordinates of all 14 atoms:
Sr: 0.145 0.855 0.500  0.00
Sr: 0.358 0.642 0.000  0.01
La: 0.637 0.363 0.000  0.01
La: 0.861 0.139 0.500  0.00
Fe: 0.499 0.501 0.500  1.35
Co: 0.008 0.992 0.000  2.95
O: 0.251 0.252 0.748  0.09
O: 0.748 0.749 0.252  0.09
O: 0.748 0.749 0.748  0.09
O: 0.251 0.252 0.252  0.09
O: 0.822 0.178 0.000  0.06
O: 0.339 0.661 0.500  -0.04
O: 0.671 0.329 0.500  -0.02
O: 0.162 0.838 0.000  0.20

## Properties
The symmetry is Amm2.

Compound: Sr4LaFe2Co3O15
Source: the Alexandria database
Functional: PBE+U
Structure: optimized geometry

Cell lengths 5.495, 6.750, 8.787 Å; angles 105.95, 108.02, 89.50 degrees
Each line ends with the local moment (μB).
Fractional coordinates of all 25 atoms:
Sr: 0.698 0.300 0.902  0.01
Sr: 0.104 0.898 0.702  0.01
Sr: 0.896 0.102 0.298  0.01
Sr: 0.302 0.700 0.098  0.01
La: 0.500 0.500 0.500  0.02
Fe: 0.297 0.200 0.098  4.06
Fe: 0.703 0.800 0.902  4.06
Co: 0.102 0.399 0.702  2.54
Co: 0.500 0.000 0.500  2.61
Co: 0.898 0.601 0.298  2.54
O: 0.733 0.801 0.397  0.22
O: 0.267 0.199 0.603  0.22
O: 0.916 0.591 0.792  0.19
O: 0.084 0.409 0.208  0.19
O: 0.500 0.000 0.000  0.08
O: 0.000 0.000 0.000  0.09
O: 0.585 0.408 0.214  0.04
O: 0.240 0.797 0.402  0.20
O: 0.415 0.592 0.786  0.04
O: 0.760 0.203 0.598  0.20
O: 0.389 0.115 0.308  0.04
O: 0.000 0.500 0.500  -0.02
O: 0.611 0.885 0.692  0.04
O: 0.801 0.694 0.095  0.04
O: 0.199 0.306 0.905  0.04

## Properties
The symmetry is P-1. For the density of states at the Fermi level, the calculation gives 4.55 states/eV/cell.

Compound: SrLaFeCoO6
Source: the Alexandria database
Functional: PBE+U
Structure: optimized geometry

Cell lengths 5.458, 5.458, 5.458 Å; angles 89.30, 60.40, 119.60 degrees
Each line ends with the local moment (μB).
Fractional coordinates of all 10 atoms:
Sr: 0.500 0.750 0.750  0.00
La: 0.500 0.250 0.250  0.01
Fe: 0.000 0.000 0.000  4.19
Co: 0.000 0.500 0.500  1.19
O: 0.510 0.255 0.745  0.07
O: 0.490 0.745 0.255  0.07
O: 0.000 0.745 0.745  0.07
O: 0.000 0.255 0.255  0.07
O: 0.000 0.743 0.257  0.12
O: 0.000 0.257 0.743  0.12

## Properties
The symmetry is I-4m2. For the density of states at the Fermi level, the calculation gives 3.15 states/eV/cell.

Compound: Sr3La2Fe4CoO15
Source: the Alexandria database
Functional: PBE+U
Structure: optimized geometry

Cell lengths 5.520, 5.520, 11.699 Å; angles 103.65, 103.65, 60.00 degrees
Each line ends with the local moment (μB).
Fractional coordinates of all 25 atoms:
Sr: 0.500 0.500 0.500  0.01
Sr: 0.301 0.301 0.903  0.00
Sr: 0.699 0.699 0.097  0.00
La: 0.097 0.097 0.292  0.01
La: 0.903 0.903 0.708  0.01
Fe: 0.800 0.800 0.400  4.04
Fe: 0.200 0.200 0.600  4.04
Fe: 0.399 0.399 0.196  4.12
Fe: 0.601 0.601 0.804  4.12
Co: 0.000 0.000 0.000  1.65
O: 0.000 0.000 0.500  0.05
O: 0.000 0.500 0.500  0.06
O: 0.500 0.000 0.500  0.06
O: 0.806 0.806 0.897  0.03
O: 0.194 0.194 0.103  0.03
O: 0.806 0.286 0.897  0.03
O: 0.194 0.714 0.103  0.03
O: 0.286 0.806 0.897  0.03
O: 0.714 0.194 0.103  0.03
O: 0.399 0.399 0.700  0.06
O: 0.601 0.601 0.300  0.06
O: 0.399 0.900 0.700  0.06
O: 0.601 0.100 0.300  0.06
O: 0.900 0.399 0.700  0.06
O: 0.100 0.601 0.300  0.06

## Properties
The symmetry is R-3m. For the density of states at the Fermi level, the calculation gives 2.15 states/eV/cell.

| no. | VASP energy (eV/atom) |
| --- | --- |
| 1 | -6.924 |
| 2 | -6.377 |
| 3 | -6.766 |
| 4 | -6.784 |